Record 1
Entry from Alexandria via LeMat-Bulk: NaUTlS3 after structural relaxation (GGA-PBE).

Values from the calculation:
E_tot	-68.13	eV/cell
E_form (uncorrected)	-1.118	eV/atom
space-group type	P2_1/m, No. 11
total magnetization	2.00	μB per formula unit
N(E_F)	0.9792	states/eV/atom

Unit cell a=4.0313 b=9.8237 c=7.8378 alpha=94.09 beta=90.00 gamma=90.00
Closest atoms and distances in Å follow each position.
Element x y z (fractional)
U: 0.7500 0.3197 0.9256  6 S 2.62-2.74
U: 0.2500 0.6803 0.0744  6 S 2.62-2.74
S: 0.2500 0.1817 0.0662  2 U 2.71, 1 Na 3.03
S: 0.7500 0.5211 0.1854  3 U 2.73-2.74
S: 0.7500 0.1700 0.6353  1 U 2.62, 2 Na 2.86
S: 0.2500 0.4789 0.8146  3 U 2.73-2.74
S: 0.7500 0.8183 0.9338  2 U 2.71, 1 Na 3.03
S: 0.2500 0.8300 0.3647  1 U 2.62, 2 Na 2.86
Na: 0.2500 0.9897 0.7463  5 S 2.86-3.07
Na: 0.7500 0.0103 0.2537  5 S 2.86-3.07
Tl: 0.7500 0.6665 0.5492  4 S 3.01-3.27
Tl: 0.2500 0.3335 0.4508  4 S 3.01-3.27

---

Record 2
Entry from Alexandria via LeMat-Bulk: Y3Pd12Pb after structural relaxation (GGA-PBE).

Values from the calculation:
DFT formation energy	-11.33	eV per formula unit
E_tot	-96.75	eV/cell
space-group type	P4/mmm, No. 123
total magnetization	0.00	μB per formula unit
N(E_F)	0.5052	states/eV/atom

Unit cell a=4.1304 b=4.1304 c=16.4967 alpha=90.00 beta=90.00 gamma=90.00
Closest atoms and distances in Å follow each position.
Element x y z (fractional)
Pd: 0.5000 0.5000 0.2477  8 Pd 2.91-2.94, 4 Y 2.92
Pd: 0.0000 0.5000 0.3746  4 Y 2.91-2.92, 8 Pd 2.92-2.94
Pd: 0.0000 0.5000 0.8766  8 Pd 2.90-2.92, 2 Pb 2.90, 2 Y 2.94
Pd: 0.5000 0.5000 0.5000  4 Y 2.92, 8 Pd 2.92
Pd: 0.0000 0.5000 0.1234  8 Pd 2.90-2.92, 2 Pb 2.90, 2 Y 2.94
Pd: 0.5000 0.5000 0.0000  8 Pd 2.90, 4 Pb 2.92
Pd: 0.5000 0.0000 0.3746  4 Y 2.91-2.92, 8 Pd 2.92-2.94
Pd: 0.5000 0.0000 0.1234  2 Pb 2.90, 8 Pd 2.90-2.92, 2 Y 2.94
Pd: 0.5000 0.5000 0.7523  8 Pd 2.91-2.94, 4 Y 2.92
Pd: 0.5000 0.0000 0.8766  2 Pb 2.90, 8 Pd 2.90-2.92, 2 Y 2.94
Pd: 0.5000 0.0000 0.6254  4 Y 2.91-2.92, 8 Pd 2.92-2.94
Pd: 0.0000 0.5000 0.6254  4 Y 2.91-2.92, 8 Pd 2.92-2.94
Y: 0.0000 0.0000 0.5000  12 Pd 2.92
Y: 0.0000 0.0000 0.2500  12 Pd 2.91-2.94
Y: 0.0000 0.0000 0.7500  12 Pd 2.91-2.94
Pb: 0.0000 0.0000 0.0000  12 Pd 2.90-2.92

---

Record 3
Entry from Alexandria via LeMat-Bulk: SrTcRh after structural relaxation (GGA-PBE).

Values from the calculation:
DFT formation energy	4.83	eV per formula unit
E_tot	-14.57	eV/cell
offset from the most stable computed form	1518.9	meV/atom
space-group type	F-43m, No. 216
total magnetization	3.21	μB per formula unit
N(E_F)	0.9554	states/eV/atom

Unit cell a=4.6793 b=4.6793 c=4.6793 alpha=60.00 beta=60.00 gamma=60.00
Closest atoms and distances in Å follow each position.
Element x y z (fractional)
Sr: 0.7500 0.7500 0.7500  4 Rh 2.87, 4 Tc 2.87
Tc: 0.0000 0.0000 0.0000  4 Sr 2.87
Rh: 0.5000 0.5000 0.5000  4 Sr 2.87

---

Record 4
Entry from Alexandria via LeMat-Bulk: Na2Ac4Se3N2 after structural relaxation (GGA-PBE).

Values from the calculation:
E_tot	-58.94	eV/cell
E_form (uncorrected)	-1.160	eV/atom
space-group type	I4/mmm, No. 139
total magnetization	0.00	μB per formula unit
N(E_F)	0.2805	states/eV/atom

Unit cell a=5.1279 b=5.1279 c=12.4351 alpha=101.90 beta=101.90 gamma=90.00
Closest atoms and distances in Å follow each position.
Element x y z (fractional)
Na: 0.7055 0.7055 0.4111  1 N 2.40
Na: 0.2945 0.2945 0.5889  1 N 2.40
N: 0.3953 0.3953 0.7906  1 Na 2.40, 4 Ac 2.59
N: 0.6047 0.6047 0.2094  1 Na 2.40, 4 Ac 2.59
Se: 0.1739 0.1739 0.3478  1 Na 2.87
Se: 0.8261 0.8261 0.6522  1 Na 2.87
Se: 0.0000 0.0000 0.0000  8 Ac 3.33
Ac: 0.5894 0.0894 0.1789  2 N 2.59
Ac: 0.9106 0.4106 0.8211  2 N 2.59
Ac: 0.4106 0.9106 0.8211  2 N 2.59
Ac: 0.0894 0.5894 0.1789  2 N 2.59

---

Record 5
Entry from Alexandria via LeMat-Bulk: Tc3GeOs after structural relaxation (GGA-PBE).

Values from the calculation:
DFT formation energy	8.64	eV per formula unit
E_tot	-38.30	eV/cell
offset from the most stable computed form	122.7	meV/atom
space-group type	Pm-3m, No. 221
total magnetization	2.36	μB per formula unit
N(E_F)	1.5590	states/eV/atom

Unit cell a=4.7109 b=4.7109 c=4.7109 alpha=90.00 beta=90.00 gamma=90.00
Closest atoms and distances in Å follow each position.
Element x y z (fractional)
Tc: 0.0000 0.0000 0.5000  2 Os 2.36
Tc: 0.5000 0.0000 0.0000  2 Os 2.36
Tc: 0.0000 0.5000 0.0000  2 Os 2.36
Ge: 0.5000 0.5000 0.5000  12 Tc 3.33
Os: 0.0000 0.0000 0.0000  6 Tc 2.36

---

Record 6
Entry from Alexandria via LeMat-Bulk: AlCo2I after structural relaxation (GGA-PBE).

Values from the calculation:
E_tot	-34.18	eV/cell
E_form (uncorrected)	0.603	eV/atom
offset from the most stable computed form	23.9	meV/atom
space-group type	I-42d, No. 122
total magnetization	0.02	μB per formula unit
N(E_F)	0.6149	states/eV/atom

Unit cell a=4.2051 b=4.2051 c=8.2548 alpha=75.24 beta=75.24 gamma=90.00
Closest atoms and distances in Å follow each position.
Element x y z (fractional)
Co: 0.8750 0.8668 0.7500  2 Al 2.42, 2 I 2.45
Co: 0.1332 0.6250 0.2500  2 Al 2.42, 2 I 2.45
Co: 0.3750 0.3832 0.7500  2 Al 2.42, 2 I 2.45
Co: 0.6168 0.1250 0.2500  2 Al 2.42, 2 I 2.45
I: 0.7500 0.2500 0.5000  4 Co 2.45
I: 0.0000 0.0000 0.0000  4 Co 2.45
Al: 0.2500 0.7500 0.5000  4 Co 2.42
Al: 0.5000 0.5000 0.0000  4 Co 2.42

---

Record 7
Entry from Alexandria via LeMat-Bulk: Tm2PuHg9 after structural relaxation (GGA-PBE).

Values from the calculation:
DFT formation energy	-2.56	eV per formula unit
E_tot	-28.55	eV/cell
space-group type	P4/mmm, No. 123
total magnetization	6.47	μB per formula unit
N(E_F)	1.7964	states/eV/atom

Unit cell a=4.6657 b=4.6689 c=13.5297 alpha=90.00 beta=90.00 gamma=90.00
Closest atoms and distances in Å follow each position.
Element x y z (fractional)
Tm: 0.0000 0.0000 0.3390  12 Hg 3.19-3.30
Tm: 0.0000 0.0000 0.6610  12 Hg 3.19-3.30
Hg: 0.0000 0.5000 0.8262  2 Tm 3.23, 8 Hg 3.24-3.31, 2 Pu 3.31
Hg: 0.5000 0.0000 0.8261  2 Tm 3.23, 8 Hg 3.24-3.31, 2 Pu 3.31
Hg: 0.5000 0.0000 0.1739  2 Tm 3.23, 8 Hg 3.24-3.31, 2 Pu 3.31
Hg: 0.5000 0.0000 0.5000  8 Hg 3.18-3.30, 4 Tm 3.19
Hg: 0.5000 0.5000 0.6595  8 Hg 3.18-3.24, 4 Tm 3.30
Hg: 0.5000 0.5000 0.3405  8 Hg 3.18-3.24, 4 Tm 3.30
Hg: 0.0000 0.5000 0.1738  2 Tm 3.23, 8 Hg 3.24-3.31, 2 Pu 3.31
Hg: 0.0000 0.5000 0.5000  8 Hg 3.18-3.30, 4 Tm 3.19
Hg: 0.5000 0.5000 0.0000  4 Pu 3.30, 8 Hg 3.31
Pu: 0.0000 0.0000 0.0000  12 Hg 3.30-3.31

---

Record 8
Entry from Alexandria via LeMat-Bulk: Ti2CrAgIr after structural relaxation (GGA-PBE).

Values from the calculation:
DFT formation energy	3.48	eV per formula unit
E_tot	-33.65	eV/cell
space-group type	P4/mmm, No. 123
total magnetization	0.00	μB per formula unit
N(E_F)	1.5082	states/eV/atom

Unit cell a=4.7470 b=4.5284 c=4.7470 alpha=90.00 beta=90.00 gamma=90.00
Closest atoms and distances in Å follow each position.
Element x y z (fractional)
Ag: 0.5000 0.5000 0.5000  8 Ti 3.28, 4 Cr 3.36
Ir: 0.0000 0.0000 0.0000  2 Cr 2.26, 4 Ti 2.37
Ti: 0.5000 0.0000 0.0000  2 Ir 2.37
Ti: 0.0000 0.0000 0.5000  2 Ir 2.37
Cr: 0.0000 0.5000 0.0000  2 Ir 2.26

---

Record 9
Entry from Alexandria via LeMat-Bulk: TaSBrCl2 after structural relaxation (GGA-PBE).

Values from the calculation:
E_tot	-14.54	eV/cell
E_form (uncorrected)	1.361	eV/atom
offset from the most stable computed form	1829.6	meV/atom
space-group type	P4/mmm, No. 123
total magnetization	2.98	μB per formula unit
N(E_F)	1.2335	states/eV/atom

Unit cell a=4.9467 b=4.9467 c=5.3206 alpha=90.00 beta=90.00 gamma=90.00
Closest atoms and distances in Å follow each position.
Element x y z (fractional)
S: 0.0000 0.0000 0.5000  2 Br 2.66
Cl: 0.5000 0.0000 0.0000  2 Br 2.47
Cl: 0.0000 0.5000 0.0000  2 Br 2.47
Ta: 0.5000 0.5000 0.5000  4 S 3.50, 8 Cl 3.63
Br: 0.0000 0.0000 0.0000  4 Cl 2.47, 2 S 2.66

---

Record 10
Entry from Alexandria via LeMat-Bulk: Sm2Ti3Bi2O12 after structural relaxation (GGA-PBE).

Values from the calculation:
E_tot	-151.32	eV/cell
E_form (uncorrected)	-2.681	eV/atom
space-group type	I4/mmm, No. 139
total magnetization	0.00	μB per formula unit
N(E_F)	0.0000	states/eV/atom

Unit cell a=16.7962 b=16.7962 c=16.7962 alpha=166.93 beta=166.93 gamma=18.52
Closest atoms and distances in Å follow each position.
Element x y z (fractional)
O: 0.1131 0.6131 0.5000  2 Ti 1.96
O: 0.6807 0.6807 0.0000  1 Ti 1.80
O: 0.5000 0.0000 0.5000  2 Ti 1.91
O: 0.0000 0.5000 0.5000  2 Ti 1.91
O: 0.4415 0.4415 0.0000  1 Ti 1.94
O: 0.8869 0.3869 0.5000  2 Ti 1.96
O: 0.6131 0.1131 0.5000  2 Ti 1.96
O: 0.5585 0.5585 0.0000  1 Ti 1.94
O: 0.7500 0.2500 0.5000  4 Bi 2.31
O: 0.3193 0.3193 0.0000  1 Ti 1.80
O: 0.3869 0.8869 0.5000  2 Ti 1.96
O: 0.2500 0.7500 0.5000  4 Bi 2.31
Ti: 0.6265 0.6265 0.0000  5 O 1.80-1.96
Ti: 0.3735 0.3735 0.0000  5 O 1.80-1.96
Ti: 0.5000 0.5000 0.0000  6 O 1.91-1.94
Bi: 0.2110 0.2110 0.0000  4 O 2.31
Bi: 0.7890 0.7890 0.0000  4 O 2.31
Sm: 0.9343 0.9343 0.0000  8 O 2.47-2.71
Sm: 0.0657 0.0657 0.0000  8 O 2.47-2.71

---

Record 11
Entry from Alexandria via LeMat-Bulk: BaTaHg2 after structural relaxation (GGA-PBE).

Values from the calculation:
DFT formation energy	2.22	eV per formula unit
E_tot	-12.15	eV/cell
space-group type	Imm2, No. 44
total magnetization	0.90	μB per formula unit
N(E_F)	0.9602	states/eV/atom

Unit cell a=6.6116 b=6.6116 c=6.6116 alpha=151.22 beta=130.03 gamma=58.69
Closest atoms and distances in Å follow each position.
Element x y z (fractional)
Ba: 0.2618 0.7618 0.5000  6 Hg 3.26-3.60, 2 Ba 3.29, 2 Ta 3.44
Ta: 0.5238 0.5238 0.0000  2 Hg 2.89
Hg: 0.7305 0.2305 0.5000  2 Ta 2.89
Hg: 0.9838 0.9838 0.0000  4 Ta 3.27, 4 Hg 3.29-3.35, 2 Ba 3.60

---

Record 12
Entry from Alexandria via LeMat-Bulk: LiPrSc2S4 after structural relaxation (GGA-PBE).

Values from the calculation:
E_tot	-99.90	eV/cell
E_form (uncorrected)	-1.760	eV/atom
space-group type	Cmcm, No. 63
total magnetization	0.00	μB per formula unit
N(E_F)	0.6136	states/eV/atom

Unit cell a=3.7793 b=6.6047 c=13.0123 alpha=90.00 beta=90.00 gamma=106.63
Closest atoms and distances in Å follow each position.
Element x y z (fractional)
S: 0.7328 0.4656 0.6156  1 Li 2.33, 1 Sc 2.59
S: 0.0000 0.0000 0.5000  4 Sc 2.60
S: 0.7328 0.4656 0.8844  1 Li 2.33, 1 Sc 2.59
S: 0.5454 0.0908 0.2500  2 Li 2.28
S: 0.2672 0.5344 0.1156  1 Li 2.33, 1 Sc 2.59
S: 0.4546 0.9092 0.7500  2 Li 2.28
S: 0.0000 0.0000 0.0000  4 Sc 2.60
S: 0.2672 0.5344 0.3844  1 Li 2.33, 1 Sc 2.59
Li: 0.1457 0.2914 0.2500  4 S 2.28-2.33
Li: 0.8543 0.7086 0.7500  4 S 2.28-2.33
Sc: 0.6286 0.2572 0.0558  6 S 2.59-2.74
Sc: 0.3714 0.7428 0.9442  6 S 2.59-2.74
Sc: 0.3714 0.7428 0.5558  6 S 2.59-2.74
Sc: 0.6286 0.2572 0.4442  6 S 2.59-2.74
Pr: 0.1249 0.2499 0.7500  6 S 2.87-2.91
Pr: 0.8751 0.7501 0.2500  6 S 2.87-2.91

---

The lowest E_tot belongs to which entry? Sm2Ti3Bi2O12

---

Which of these has the highest total magnetization? Tm2PuHg9

---

What is the formula in the eighth record? Ti2CrAgIr